1.
Below is an optimized crystal structure of Sc5U3Se12, with properties calculated at the PBE-GGA level. Values from VASP.

Energy relative to the elements, uncorrected, eV per atom: -1.3252

```
&SYSTEM
  ibrav = 0, nat = 80, ntyp = 3
/
ATOMIC_SPECIES
Se 78.96 Se.upf
U 238.03 U.upf
Sc 44.96 Sc.upf
ATOMIC_POSITIONS crystal
Se 0.1758 0.0907 0.7167
Se 0.0409 0.4148 0.8242
Se 0.8740 0.5907 0.9148
Se 0.4093 0.1260 0.5852
Se 0.4093 0.2833 0.3242
Se 0.3242 0.5409 0.4148
Se 0.5409 0.2167 0.1260
Se 0.0907 0.1758 0.2167
Se 0.2833 0.4093 0.8242
Se 0.2167 0.5409 0.6260
Se 0.6260 0.0409 0.2167
Se 0.4148 0.3740 0.5907
Se 0.0852 0.9093 0.1260
Se 0.0852 0.1758 0.4591
Se 0.4591 0.6758 0.0852
Se 0.9093 0.0852 0.6260
Se 0.6260 0.5852 0.9093
Se 0.9591 0.3740 0.2833
Se 0.7167 0.1260 0.0409
Se 0.9093 0.8242 0.7833
Se 0.6758 0.4591 0.5852
Se 0.3740 0.9591 0.7833
Se 0.5907 0.8740 0.4148
Se 0.3740 0.4148 0.0907
Se 0.0907 0.9148 0.3740
Se 0.5907 0.7167 0.6758
Se 0.1260 0.7167 0.5409
Se 0.0409 0.6260 0.7167
Se 0.4591 0.7833 0.8740
Se 0.9148 0.8242 0.5409
Se 0.1260 0.4093 0.0852
Se 0.5852 0.9591 0.6758
Se 0.5409 0.3242 0.9148
Se 0.7167 0.5907 0.1758
Se 0.3242 0.7833 0.4093
Se 0.9591 0.5852 0.1758
Se 0.6758 0.2167 0.5907
Se 0.7833 0.3242 0.9093
Se 0.8740 0.2833 0.4591
Se 0.4148 0.0409 0.3242
Se 0.2167 0.6758 0.0907
Se 0.9148 0.0907 0.8740
Se 0.1758 0.0852 0.9591
Se 0.7833 0.4591 0.3740
Se 0.2833 0.8740 0.9591
Se 0.5852 0.6260 0.4093
Se 0.8242 0.9093 0.2833
Se 0.8242 0.9148 0.0409
U 0.8750 0.1250 0.2500
U 0.1250 0.8750 0.7500
U 0.1250 0.2500 0.8750
U 0.7500 0.8750 0.6250
U 0.8750 0.7500 0.1250
U 0.2500 0.1250 0.3750
U 0.7500 0.3750 0.1250
U 0.2500 0.6250 0.8750
U 0.3750 0.7500 0.6250
U 0.6250 0.3750 0.7500
U 0.6250 0.2500 0.3750
U 0.3750 0.6250 0.2500
Sc 0.0000 0.5000 0.0000
Sc 0.5000 0.0000 0.0000
Sc 0.2500 0.8750 0.1250
Sc 0.3750 0.2500 0.1250
Sc 0.5000 0.0000 0.5000
Sc 0.0000 0.5000 0.5000
Sc 0.7500 0.6250 0.3750
Sc 0.3750 0.1250 0.7500
Sc 0.8750 0.2500 0.6250
Sc 0.1250 0.7500 0.3750
Sc 0.5000 0.5000 0.0000
Sc 0.1250 0.3750 0.2500
Sc 0.0000 0.0000 0.5000
Sc 0.6250 0.8750 0.2500
Sc 0.5000 0.5000 0.5000
Sc 0.0000 0.0000 0.0000
Sc 0.2500 0.3750 0.6250
Sc 0.7500 0.1250 0.8750
Sc 0.8750 0.6250 0.7500
Sc 0.6250 0.7500 0.8750
CELL_PARAMETERS angstrom
14.1535 0.0000 0.0000
-4.7178 13.3440 0.0000
-4.7178 -6.6720 11.5562
```


2.
Below is an optimized crystal structure of LaZn5, with properties calculated at the PBE-GGA level. Values from VASP.

Distance to the lowest polymorph of the same formula, eV per atom: 0.186

```
&SYSTEM
  ibrav = 0, nat = 6, ntyp = 2
/
ATOMIC_SPECIES
La 138.91 La.upf
Zn 65.41 Zn.upf
ATOMIC_POSITIONS crystal
La 0.5000 0.5000 0.0000
Zn 0.1820 0.8180 0.0000
Zn 0.2978 0.7022 0.5000
Zn 0.7022 0.2978 0.5000
Zn 0.8180 0.1820 0.0000
Zn 0.0000 0.0000 0.5000
CELL_PARAMETERS angstrom
-4.0755 2.3044 3.3256
0.0233 -0.9365 -5.6659
-1.8133 -4.1975 0.6863
```